No. 1
Below is crystalline Y2Se2S at its relaxed geometry, with properties calculated at the PBE-GGA level.

Cell and atoms, written as POSCAR:
```
Y2Se2S
1.0
8.2199 0.0000 0.0000
0.0000 5.8138 0.0000
0.0000 0.0000 11.8132
Y Se S
8 8 4
direct
0.0848 0.2500 0.2321 Y
0.1502 0.2500 0.5798 Y
0.3498 0.7500 0.0798 Y
0.4152 0.7500 0.7321 Y
0.5848 0.2500 0.2679 Y
0.6502 0.2500 0.9202 Y
0.8498 0.7500 0.4202 Y
0.9152 0.7500 0.7679 Y
0.0846 0.7500 0.2289 Se
0.1368 0.7500 0.5766 Se
0.3632 0.2500 0.0766 Se
0.4154 0.2500 0.7289 Se
0.5846 0.7500 0.2711 Se
0.6368 0.7500 0.9234 Se
0.8632 0.2500 0.4234 Se
0.9154 0.2500 0.7711 Se
0.1857 0.7500 0.8937 S
0.3143 0.2500 0.3937 S
0.6857 0.7500 0.6063 S
0.8143 0.2500 0.1063 S
```

Calculated values
* DFT total energy: -6.65 eV/atom
* magnetic moment: 0.00 μB/atom
* crystal system: orthorhombic
* energy relative to the lowest polymorph listed for this composition: 65 meV/atom
* SG: Pnma (62)
* formation energy without anion corrections: -1.844 eV per atom

***

No. 2
Below is crystalline TcSbI2N at its relaxed geometry, with properties calculated at the PBE-GGA level.

Cell and atoms, written as POSCAR:
```
TcSbI2N
1.0
6.2111 0.0000 0.0000
0.0000 6.2111 0.0000
0.0000 0.0000 3.9641
Tc Sb I N
1 1 2 1
direct
0.0000 0.0000 0.0000 Tc
0.5000 0.5000 0.5000 Sb
0.0000 0.5000 0.5000 I
0.5000 0.0000 0.5000 I
0.5000 0.5000 0.0000 N
```

Calculated values
* DFT total energy: -3.87 eV/atom
* magnetic moment: 0.89 μB/atom
* crystal system: tetragonal
* energy relative to the lowest polymorph listed for this composition: 837 meV/atom
* SG: P4/mmm (123)
* formation energy without anion corrections: 1.318 eV per atom

***

No. 3
Below is crystalline Ce2Ga2Pd at its relaxed geometry, with properties calculated at the PBE-GGA level.

Cell and atoms, written as POSCAR:
```
Ce2Ga2Pd
1.0
5.0632 -2.3148 0.0000
5.0632 2.3148 0.0000
-4.8680 0.0000 9.4698
Ce Ga Pd
4 4 2
direct
0.0046 0.0046 0.3292 Ce
0.1520 0.1520 0.1009 Ce
0.8480 0.8480 0.8991 Ce
0.9954 0.9954 0.6708 Ce
0.3545 0.3545 0.4343 Ga
0.4622 0.4622 0.1154 Ga
0.5378 0.5378 0.8846 Ga
0.6455 0.6455 0.5657 Ga
0.2774 0.2774 0.6559 Pd
0.7226 0.7226 0.3441 Pd
```

Calculated values
* DFT total energy: -5.27 eV/atom
* E_form: -310 kJ/mol of formula units
* magnetic moment: 0.19 μB/atom
* crystal system: monoclinic
* energy relative to the lowest polymorph listed for this composition: 0 meV/atom
* SG: C2/m (12)

***

No. 4
Below is crystalline Ac12Si4Pb at its relaxed geometry, with properties calculated at the PBE-GGA level.

Cell and atoms, written as POSCAR:
```
Ac12Si4Pb
1.0
-5.6707 5.6707 5.6707
5.6707 -5.6707 5.6707
5.6707 5.6707 -5.6707
Ac Si Pb
12 4 1
direct
0.1451 0.8305 0.3146 Ac
0.1695 0.3146 0.4841 Ac
0.1695 0.6854 0.8549 Ac
0.3146 0.1451 0.8305 Ac
0.3146 0.4841 0.1695 Ac
0.4841 0.1695 0.3146 Ac
0.5159 0.8305 0.6854 Ac
0.6854 0.5159 0.8305 Ac
0.6854 0.8549 0.1695 Ac
0.8305 0.3146 0.1451 Ac
0.8305 0.6854 0.5159 Ac
0.8549 0.1695 0.6854 Ac
0.0000 0.0000 0.5000 Si
0.0000 0.5000 0.0000 Si
0.5000 0.0000 0.0000 Si
0.5000 0.5000 0.5000 Si
0.0000 0.0000 0.0000 Pb
```

Calculated values
* DFT total energy: -4.46 eV/atom
* magnetic moment: 0.01 μB/atom
* crystal system: cubic
* SG: Im-3 (204)
* formation energy without anion corrections: -0.069 eV per atom

***

No. 5
Below is crystalline La6Ho12Tm at its relaxed geometry, with properties calculated at the PBE-GGA level.

Cell and atoms, written as POSCAR:
```
La6Ho12Tm
1.0
5.5631 3.2119 5.9447
-5.5631 3.2119 5.9447
0.0000 -6.4237 5.9447
La Ho Tm
6 12 1
direct
0.2659 0.2659 0.6632 La
0.2659 0.6632 0.2659 La
0.3368 0.7341 0.7341 La
0.6632 0.2659 0.2659 La
0.7341 0.3368 0.7341 La
0.7341 0.7341 0.3368 La
0.0119 0.0119 0.6945 Ho
0.0119 0.6945 0.0119 Ho
0.0133 0.3604 0.3604 Ho
0.3055 0.9881 0.9881 Ho
0.3604 0.0133 0.3604 Ho
0.3604 0.3604 0.0133 Ho
0.6396 0.6396 0.9867 Ho
0.6396 0.9867 0.6396 Ho
0.6945 0.0119 0.0119 Ho
0.9867 0.6396 0.6396 Ho
0.9881 0.3055 0.9881 Ho
0.9881 0.9881 0.3055 Ho
0.5000 0.5000 0.5000 Tm
```

Calculated values
* DFT total energy: -4.55 eV/atom
* E_form: 249 kJ/mol of formula units
* magnetic moment: 0.00 μB/atom
* crystal system: trigonal
* energy relative to the lowest polymorph listed for this composition: 0 meV/atom
* SG: R-3m (166)

***

No. 6
Below is crystalline Ac7La2Sm3 at its relaxed geometry, with properties calculated at the PBE-GGA level.

Cell and atoms, written as POSCAR:
```
Ac7La2Sm3
1.0
6.9989 0.0000 0.0000
0.0000 3.7984 0.0000
-1.8878 0.0000 18.5243
Ac La Sm
7 2 3
direct
0.0000 0.0000 0.0000 Ac
0.2290 0.5000 0.1747 Ac
0.2536 0.5000 0.4934 Ac
0.2825 0.0000 0.8331 Ac
0.7175 0.0000 0.1669 Ac
0.7464 0.5000 0.5066 Ac
0.7710 0.5000 0.8253 Ac
0.0630 0.5000 0.6687 La
0.9370 0.5000 0.3313 La
0.4601 0.0000 0.3419 Sm
0.5000 0.5000 0.0000 Sm
0.5399 0.0000 0.6581 Sm
```

Calculated values
* DFT total energy: -4.30 eV/atom
* E_form: 108 kJ/mol of formula units
* magnetic moment: 0.00 μB/atom
* crystal system: monoclinic
* SG: P2/m (10)

***

No. 7
Below is crystalline As2PtCO at its relaxed geometry, with properties calculated at the PBE-GGA level.

Cell and atoms, written as POSCAR:
```
As2PtCO
1.0
4.2559 0.0000 0.0000
0.0000 4.2559 0.0000
0.0000 0.0000 3.8417
As Pt C O
2 1 1 1
direct
0.0000 0.5000 0.0000 As
0.5000 0.0000 0.0000 As
0.0000 0.0000 0.5000 Pt
0.5000 0.5000 0.5000 C
0.5000 0.5000 0.0000 O
```

Calculated values
* DFT total energy: -4.84 eV/atom
* magnetic moment: 0.00 μB/atom
* crystal system: tetragonal
* SG: P4/mmm (123)
* formation energy without anion corrections: 1.068 eV per atom

***

No. 8
Below is crystalline LaLu2Ag at its relaxed geometry, with properties calculated at the PBE-GGA level.

Cell and atoms, written as POSCAR:
```
LaLu2Ag
1.0
1.7900 1.0334 10.3516
-1.7900 1.0334 10.3516
0.0000 -2.0669 10.3516
La Lu Ag
1 2 1
direct
0.0000 0.0000 0.0000 La
0.2385 0.2385 0.2385 Lu
0.7615 0.7615 0.7615 Lu
0.5000 0.5000 0.5000 Ag
```

Calculated values
* DFT total energy: -4.21 eV/atom
* E_form: -2 kJ/mol of formula units
* magnetic moment: 0.00 μB/atom
* crystal system: trigonal
* energy relative to the lowest polymorph listed for this composition: 125 meV/atom
* SG: R-3m (166)

***

No. 9
Below is crystalline Pr2Y3In4 at its relaxed geometry, with properties calculated at the PBE-GGA level.

Cell and atoms, written as POSCAR:
```
Pr2Y3In4
1.0
3.5657 -8.4235 0.0000
3.5657 8.4235 0.0000
0.0000 0.0000 9.1208
Pr Y In
4 6 8
direct
0.1087 0.8913 0.9216 Pr
0.3913 0.6087 0.4216 Pr
0.6087 0.3913 0.5784 Pr
0.8913 0.1087 0.0784 Pr
0.0000 0.0000 0.5000 Y
0.0323 0.4677 0.7500 Y
0.4677 0.0323 0.2500 Y
0.5000 0.5000 0.0000 Y
0.5323 0.9677 0.7500 Y
0.9677 0.5323 0.2500 Y
0.1831 0.8169 0.5402 In
0.2144 0.2856 0.7500 In
0.2856 0.2144 0.2500 In
0.3169 0.6831 0.0402 In
0.6831 0.3169 0.9598 In
0.7144 0.7856 0.7500 In
0.7856 0.7144 0.2500 In
0.8169 0.1831 0.4598 In
```

Calculated values
* DFT total energy: -4.76 eV/atom
* E_form: -286 kJ/mol of formula units
* magnetic moment: 0.00 μB/atom
* crystal system: orthorhombic
* SG: Cmce (64)

***

No. 10
Below is crystalline Ca4LaTl5 at its relaxed geometry, with properties calculated at the PBE-GGA level.

Cell and atoms, written as POSCAR:
```
Ca4LaTl5
1.0
3.9161 0.0000 0.0000
0.0000 3.9161 0.0000
0.0000 0.0000 19.4442
Ca La Tl
4 1 5
direct
0.0000 0.0000 0.0987 Ca
0.0000 0.0000 0.2946 Ca
0.0000 0.0000 0.7054 Ca
0.0000 0.0000 0.9013 Ca
0.0000 0.0000 0.5000 La
0.5000 0.5000 0.0000 Tl
0.5000 0.5000 0.1967 Tl
0.5000 0.5000 0.3941 Tl
0.5000 0.5000 0.6059 Tl
0.5000 0.5000 0.8033 Tl
```

Calculated values
* DFT total energy: -2.92 eV/atom
* E_form: -424 kJ/mol of formula units
* magnetic moment: 0.00 μB/atom
* crystal system: tetragonal
* SG: P4/mmm (123)

***

No. 11
Below is crystalline DyYMgIn at its relaxed geometry, with properties calculated at the PBE-GGA level.

Cell and atoms, written as POSCAR:
```
DyYMgIn
1.0
0.0000 3.7585 3.7585
3.7585 0.0000 3.7585
3.7585 3.7585 0.0000
Dy Y Mg In
1 1 1 1
direct
0.0000 0.0000 0.0000 Dy
0.5000 0.5000 0.5000 Y
0.2500 0.2500 0.2500 Mg
0.7500 0.7500 0.7500 In
```

Calculated values
* DFT total energy: -4.19 eV/atom
* E_form: -131 kJ/mol of formula units
* magnetic moment: 0.00 μB/atom
* crystal system: cubic
* SG: F-43m (216)

***

No. 12
Below is crystalline SmAsH at its relaxed geometry, with properties calculated at the PBE-GGA level.

Cell and atoms, written as POSCAR:
```
SmAsH
1.0
8.3793 0.0000 0.0000
0.0000 4.2931 0.0000
0.0000 0.0000 6.0162
Sm As H
4 4 4
direct
0.1143 0.2500 0.2278 Sm
0.3857 0.7500 0.7278 Sm
0.6143 0.2500 0.2722 Sm
0.8857 0.7500 0.7722 Sm
0.1422 0.2500 0.7245 As
0.3578 0.7500 0.2245 As
0.6422 0.2500 0.7755 As
0.8578 0.7500 0.2755 As
0.0698 0.7500 0.0948 H
0.4302 0.2500 0.5948 H
0.5698 0.7500 0.4052 H
0.9302 0.2500 0.9052 H
```

Calculated values
* DFT total energy: -5.00 eV/atom
* magnetic moment: 0.00 μB/atom
* crystal system: orthorhombic
* energy relative to the lowest polymorph listed for this composition: 92 meV/atom
* SG: Pnma (62)